A relaxed Y4Zn2C crystal, computed with GGA-PBE.

Results
Formation energy ... -21.1 kJ per mole of atoms
Spin magnetization ... 0.000 μB/f.u.
E_tot ... -5.59 eV/atom
Calculated volume ... 24.3 Å³ per atom
Crystal system ... tetragonal

a = 4.8928 Å, b = 4.8928 Å, c = 14.2138 Å
α = 90.00°, β = 90.00°, γ = 90.00°
Space group I4/mmm (No. 139)
Inequivalent atoms, fractional coordinates:
Y (0.0000, 0.0000, 0.1732) (multiplicity 4)
Y (0.0000, 0.5000, 0.0000) (multiplicity 4)
Zn (0.0000, 0.0000, 0.3763) (multiplicity 4)
C (0.0000, 0.0000, 0.0000) (multiplicity 2)